No. 1
! Ta2MnSe (PBE-GGA, optimized geometry); values from VASP
! SG: Cm, No. 8
&SYSTEM
  ibrav = 0, nat = 4, ntyp = 3
/
ATOMIC_SPECIES
Se 78.96 Se.upf
Mn 54.94 Mn.upf
Ta 180.95 Ta.upf
CELL_PARAMETERS angstrom
4.939 0.005 0.006
3.944 2.972 0.006
1.396 0.468 4.457
ATOMIC_POSITIONS crystal
Se 0.239 0.239 0.205
Mn 0.509 0.509 0.541
Ta 0.985 0.985 0.055
Ta 0.767 0.767 0.698

***

No. 2
! Ta2MnSe (PBE-GGA, optimized geometry); values from VASP
! SG: I-42d, No. 122
&SYSTEM
  ibrav = 0, nat = 8, ntyp = 3
/
ATOMIC_SPECIES
Mn 54.94 Mn.upf
Se 78.96 Se.upf
Ta 180.95 Ta.upf
CELL_PARAMETERS angstrom
-4.307 2.929 0.334
-0.349 0.080 -5.207
-5.975 -3.878 -2.275
ATOMIC_POSITIONS crystal
Mn 0.250 0.750 0.500
Se 0.000 0.000 0.000
Ta 0.375 0.429 0.750
Mn 0.500 0.500 0.000
Ta 0.875 0.821 0.750
Ta 0.571 0.125 0.250
Ta 0.179 0.625 0.250
Se 0.750 0.250 0.500

***

No. 3
! TaMn2Se (PBE-GGA, optimized geometry); values from VASP
! SG: R-3m, No. 166
&SYSTEM
  ibrav = 0, nat = 4, ntyp = 3
/
ATOMIC_SPECIES
Mn 54.94 Mn.upf
Se 78.96 Se.upf
Ta 180.95 Ta.upf
CELL_PARAMETERS angstrom
7.925 -0.027 -0.016
7.319 3.040 -0.016
7.319 1.447 2.674
ATOMIC_POSITIONS crystal
Mn 0.497 0.497 0.497
Se 0.750 0.750 0.750
Mn 0.003 0.003 0.003
Ta 0.250 0.250 0.250

***

Listing density of states at the Fermi level for the structures above in their given order: 3.53; 1.41; 2.76 states/eV/f.u..
Listing formation energy from raw total energies for the structures above in their given order: 0.05; 0.85; 0.17 eV per atom.